No. 1
The following is a DFT calculation (PBE) of an optimized crystal structure of Ba2Li3Au4.

Unit cell a=9.2150 b=8.3487 c=5.7529 alpha=79.27 beta=62.89 gamma=37.83
Fractional positions:
Ba 0.1620 0.1620 0.8380
Ba 0.8380 0.8380 0.1620
Li 0.0000 0.0000 0.5000
Li 0.5000 0.5000 0.0000
Li 0.5000 0.5000 0.5000
Au 0.2045 0.5265 0.4735
Au 0.4735 0.7955 0.2045
Au 0.5265 0.2045 0.7955
Au 0.7955 0.4735 0.5265

Calculated values
- Crystal system: orthorhombic
- Calculated volume: 25.46 Å³/atom
- Space-group type: Fmmm (69)

---

No. 2
The following is a DFT calculation (PBE) of an optimized crystal structure of BaLi2Au.

Unit cell a=3.8137 b=3.8137 c=7.4405 alpha=90.00 beta=90.00 gamma=90.00
Fractional positions:
Ba 0.0000 0.0000 0.0000
Li 0.0000 0.0000 0.5637
Li 0.5000 0.5000 0.3765
Au 0.5000 0.5000 0.7240

Calculated values
- Crystal system: tetragonal
- Calculated volume: 27.05 Å³/atom
- Space-group type: P4mm (99)
- Energy relative to the lowest polymorph listed for this composition: 113 meV/atom

---

No. 3
The following is a DFT calculation (PBE) of an optimized crystal structure of BaLi2Au.

Unit cell a=4.7794 b=4.7794 c=19.9808 alpha=90.00 beta=90.00 gamma=90.00
Fractional positions:
Ba 0.0000 0.0000 0.0000
Ba 0.0000 0.5000 0.2500
Ba 0.5000 0.0000 0.7500
Ba 0.5000 0.5000 0.5000
Li 0.0960 0.2500 0.6250
Li 0.2500 0.5960 0.8750
Li 0.2500 0.9040 0.3750
Li 0.4040 0.2500 0.1250
Li 0.5960 0.7500 0.1250
Li 0.7500 0.0960 0.3750
Li 0.7500 0.4040 0.8750
Li 0.9040 0.7500 0.6250
Au 0.0000 0.0000 0.5000
Au 0.0000 0.5000 0.7500
Au 0.5000 0.0000 0.2500
Au 0.5000 0.5000 0.0000

Calculated values
- Crystal system: tetragonal
- Calculated volume: 28.53 Å³/atom
- Space-group type: I-42d (122)
- Energy relative to the lowest polymorph listed for this composition: 148 meV/atom

---

| no. | ΔH_f (0 K) (meV per atom) | M_tot (μB/f.u.) | total DFT energy (no corrections) (eV/atom) |
| --- | --- | --- | --- |
| 1 | -511 | 0.00 | -3.03 |
| 2 | -286 | 0.00 | -2.54 |
| 3 | -250 | 0.00 | -2.51 |